The following is a PBE calculation of an optimized crystal structure of CrBS2N, from Alexandria via LeMat-Bulk.

Structure (POSCAR):
```
CrBS2N
1.0
-4.156 -0.554 2.692
-1.738 -3.251 -3.352
1.157 -2.030 1.369
Cr S B N
1 2 1 1
direct
0.500 0.500 0.500
0.000 0.500 0.000
0.500 0.000 0.000
0.000 0.000 0.000
0.000 0.000 0.500
```

Properties
- raw formation energy (eV per formula unit) = 1.94
- space group = P4/mmm
- crystal system = tetragonal
- V (Å³ per atom) = 13.443


The following is a PBE calculation of an optimized crystal structure of Cr2BSN, from Alexandria via LeMat-Bulk.

Structure (POSCAR):
```
Cr2BSN
1.0
4.351 0.000 0.000
0.000 2.912 0.000
0.000 0.000 4.351
Cr S B N
2 1 1 1
direct
0.000 0.000 0.500
0.500 0.000 0.000
0.500 0.500 0.500
0.000 0.000 0.000
0.000 0.500 0.000
```

Properties
- raw formation energy (eV per formula unit) = 2.07
- space group = P4/mmm
- crystal system = tetragonal
- V (Å³ per atom) = 11.023


no.,total moment (μB/atom)
1,0.762
2,1.119